# RbTlPdCl4

RbTlPdCl4 after structural relaxation (PBE-GGA, the Open Quantum Materials Database).

The structure belongs to space group Pmmm (No. 47); the cell edges are 4.3280, 7.1756 and 7.2411 Å and the angles 90.00°, 90.00° and 90.00°. The inequivalent atoms are Rb at (0.0000, 0.0000, 0.0000), Tl at (0.0000, 0.5000, 0.5000), Pd at (0.5000, 0.0000, 0.5000) and Cl at (0.5000, 0.2305, 0.2733).

The total energy is -23.6 eV per formula unit.